Sr2Sb5Au4 | PBE-GGA | relaxed

Its crystal system is monoclinic. The formation energy (no corrections) is -0.358 eV per atom. As for the density: 8.68 g/cm3.

It has space group C2/m (No. 12), with a = 13.370 Å, b = 6.728 Å, c = 9.225 Å, α = 90.00°, β = 133.52° and γ = 90.00°. Symmetry generates all atoms from Sr at (0.001, 0.000, 0.241), Sb at (0.000, 0.500, 0.000), Sb at (0.223, 0.251, 0.723), Au at (0.152, 0.500, 0.418) and Au at (0.154, 0.500, 0.888).

=====

Te3SeS | PBE-GGA | relaxed

Its crystal system is monoclinic. The formation energy (no corrections) is 0.084 eV per atom. Its energy above the most stable polymorph in this dataset is 0 meV per atom. As for the density: 4.91 g/cm3.

It has space group P2_1/c (No. 14), with a = 9.451 Å, b = 4.744 Å, c = 17.195 Å, α = 90.00°, β = 119.95° and γ = 90.00°. Symmetry generates all atoms from Te at (0.030, 0.108, 0.384), Te at (0.375, 0.112, 0.655), Te at (0.402, 0.664, 0.387), Se at (0.193, 0.732, 0.021) and S at (0.157, 0.563, 0.793).

=====

MnTcBr4 | PBE-GGA | relaxed

Its crystal system is cubic. The formation energy (no corrections) is 1.339 eV per atom. As for the density: 4.59 g/cm3.

It has space group F-43m (No. 216), with a = 8.811 Å, b = 8.811 Å, c = 8.811 Å, α = 90.00°, β = 90.00° and γ = 90.00°. Symmetry generates all atoms from Mn at (0.000, 0.000, 0.000), Tc at (0.250, 0.250, 0.750) and Br at (0.125, 0.125, 0.375).